The following is a SCAN calculation of a PBEsol-optimized structure of Sr2DyReO6, from the Alexandria database.

Geometry as CIF:
```
data_Sr2DyReO6
_space_group_name_H-M_alt 'F m -3 m'
_space_group_IT_number 225
_space_group_name_Hall '-F 4 2 3'
_cell_length_a 8.235
_cell_length_b 8.235
_cell_length_c 8.235
_cell_angle_alpha 90.00
_cell_angle_beta 90.00
_cell_angle_gamma 90.00
loop_
_atom_site_label
_atom_site_type_symbol
_atom_site_fract_x
_atom_site_fract_y
_atom_site_fract_z
Sr1 Sr 0.250 0.250 0.250
Dy1 Dy 0.000 0.000 0.000
Re1 Re 0.000 0.000 0.500
O1 O 0.000 0.000 0.264
```

Energy relative to the elements, uncorrected, eV/atom: -2.85
Total magnetization, μB/f.u.: 2.0
Volume, Å³/f.u.: 140
Crystal system: cubic